{"formula": "LaMnCl2", "functional": "meta-GGA SCAN", "state": "single point on PBEsol structure", "raw_formation_energy_ev_per_atom": -1.144, "sg": "R-3m", "magnetic_moment_mub_per_fu": 4.89, "lattice": [[3.474, 0.000, 0.000], [-1.737, 3.009, 0.000], [0.000, 0.000, 27.648]], "species": ["La", "La", "La", "Mn", "Mn", "Mn", "Cl", "Cl", "Cl", "Cl", "Cl", "Cl"], "frac_coords": [[0.000, 0.000, 0.000], [0.333, 0.667, 0.667], [0.667, 0.333, 0.333], [0.000, 0.000, 0.500], [0.333, 0.667, 0.167], [0.667, 0.333, 0.833], [0.000, 0.000, 0.259], [0.000, 0.000, 0.741], [0.333, 0.667, 0.408], [0.333, 0.667, 0.925], [0.667, 0.333, 0.075], [0.667, 0.333, 0.592]]}